Record 1
{"formula": "Tb2CdSi", "functional": "GGA-PBE", "state": "relaxed", "lattice_angstrom": [[-1.517, 2.838, 1.849], [-2.925, -2.118, 0.852], [3.227, -2.098, 5.868]], "species": ["Cd", "Tb", "Tb", "Si"], "frac_coords": [[0.500, 0.500, 0.500], [0.000, 0.000, 0.774], [0.000, 0.000, 0.226], [0.500, 0.500, 0.000]], "e_form_raw_ev_per_atom": -0.416}

---

Record 2
{"formula": "BaTlSn", "functional": "GGA-PBE", "state": "relaxed", "lattice_angstrom": [[5.128, 0.000, 0.000], [0.000, 4.990, 0.000], [0.000, -2.495, 4.322]], "species": ["Sn", "Tl", "Ba"], "frac_coords": [[0.085, 0.000, 0.000], [0.255, 0.667, 0.333], [0.660, 0.333, 0.667]], "delta_e_f_mev_per_atom": -463}

---

Record 3
{"formula": "Rb3Sb4Pb4", "functional": "GGA-PBE", "state": "relaxed", "lattice_angstrom": [[-1.595, 2.984, 7.778], [-6.039, -5.536, -2.198], [7.544, -3.878, -0.049]], "species": ["Pb", "Pb", "Pb", "Pb", "Rb", "Rb", "Rb", "Sb", "Sb", "Sb", "Sb"], "frac_coords": [[0.000, 0.275, 0.000], [0.725, 0.725, 0.725], [0.000, 0.000, 0.275], [0.275, 0.000, 0.000], [0.500, 0.500, 0.000], [0.500, 0.000, 0.500], [0.000, 0.500, 0.500], [0.000, 0.639, 0.000], [0.361, 0.361, 0.361], [0.000, 0.000, 0.639], [0.639, 0.000, 0.000]], "e_form_raw_ev_per_atom": -0.196}

---

Record 4
{"formula": "CaAcSe2O6", "functional": "GGA-PBE", "state": "relaxed", "lattice_angstrom": [[5.799, 0.000, 0.000], [2.900, 5.022, 0.000], [2.900, 1.674, 5.764]], "species": ["Se", "Se", "O", "O", "O", "O", "O", "O", "Ac", "Ca"], "frac_coords": [[0.215, 0.215, 0.355], [0.785, 0.785, 0.645], [0.262, 0.940, 0.258], [0.540, 0.262, 0.258], [0.940, 0.540, 0.258], [0.060, 0.460, 0.742], [0.460, 0.738, 0.742], [0.738, 0.060, 0.742], [0.000, 0.000, 0.000], [0.500, 0.500, 0.500]], "e_form_raw_ev_per_atom": -1.763}